[1]
# NaFeRh (PBE-GGA, relaxed)
# DFT formation energy = 1.0 eV/f.u.
# Relative energy among the computed polymorphs = 231.3 meV/atom
data_NaFeRh
_chemical_formula_sum 'Na2 Fe2 Rh2'
_space_group_name_H-M_alt 'P 1'
_space_group_IT_number 1
_space_group_name_Hall 'P 1'
_cell_length_a 6.553
_cell_length_b 6.553
_cell_length_c 5.772
_cell_angle_alpha 102.47
_cell_angle_beta 102.47
_cell_angle_gamma 25.15
loop_
_atom_site_label
_atom_site_fract_x
_atom_site_fract_y
_atom_site_fract_z
Na1 0.000 0.000 0.000
Na2 0.000 0.000 0.500
Fe1 0.307 0.307 0.626
Fe2 0.693 0.693 0.374
Rh1 0.307 0.307 0.170
Rh2 0.693 0.693 0.830

---

[2]
# NaFeRh2 (PBE-GGA, relaxed)
# DFT formation energy = 1.3 eV/f.u.
# Relative energy among the computed polymorphs = 0.0 meV/atom
data_NaFeRh2
_chemical_formula_sum 'Na1 Fe1 Rh2'
_space_group_name_H-M_alt 'P 1'
_space_group_IT_number 1
_space_group_name_Hall 'P 1'
_cell_length_a 4.352
_cell_length_b 4.352
_cell_length_c 4.352
_cell_angle_alpha 60.00
_cell_angle_beta 60.00
_cell_angle_gamma 60.00
loop_
_atom_site_label
_atom_site_fract_x
_atom_site_fract_y
_atom_site_fract_z
Na1 0.000 0.000 0.000
Fe1 0.500 0.500 0.500
Rh1 0.250 0.250 0.250
Rh2 0.750 0.750 0.750

---

[3]
# NaFeRh (PBE-GGA, relaxed)
# DFT formation energy = 1.5 eV/f.u.
# Relative energy among the computed polymorphs = 397.6 meV/atom
data_NaFeRh
_chemical_formula_sum 'Na1 Fe1 Rh1'
_space_group_name_H-M_alt 'P 1'
_space_group_IT_number 1
_space_group_name_Hall 'P 1'
_cell_length_a 4.436
_cell_length_b 4.436
_cell_length_c 2.815
_cell_angle_alpha 90.00
_cell_angle_beta 90.00
_cell_angle_gamma 120.00
loop_
_atom_site_label
_atom_site_fract_x
_atom_site_fract_y
_atom_site_fract_z
Na1 0.000 0.000 0.000
Fe1 0.333 0.667 0.500
Rh1 0.667 0.333 0.500

---

[4]
# NaFeRh (PBE-GGA, relaxed)
# DFT formation energy = 1.5 eV/f.u.
# Relative energy among the computed polymorphs = 404.4 meV/atom
data_NaFeRh
_chemical_formula_sum 'Na2 Fe2 Rh2'
_space_group_name_H-M_alt 'P 1'
_space_group_IT_number 1
_space_group_name_Hall 'P 1'
_cell_length_a 6.299
_cell_length_b 5.499
_cell_length_c 4.515
_cell_angle_alpha 77.27
_cell_angle_beta 58.38
_cell_angle_gamma 44.36
loop_
_atom_site_label
_atom_site_fract_x
_atom_site_fract_y
_atom_site_fract_z
Na1 0.158 0.842 0.158
Na2 0.842 0.158 0.842
Fe1 0.250 0.250 0.250
Fe2 0.750 0.750 0.750
Rh1 0.354 0.354 0.646
Rh2 0.646 0.646 0.354

---

[5]
# NaFeRh (PBE-GGA, relaxed)
# DFT formation energy = 1.0 eV/f.u.
# Relative energy among the computed polymorphs = 208.7 meV/atom
data_NaFeRh
_chemical_formula_sum 'Na2 Fe2 Rh2'
_space_group_name_H-M_alt 'P 1'
_space_group_IT_number 1
_space_group_name_Hall 'P 1'
_cell_length_a 5.164
_cell_length_b 5.164
_cell_length_c 5.164
_cell_angle_alpha 120.33
_cell_angle_beta 116.34
_cell_angle_gamma 92.94
loop_
_atom_site_label
_atom_site_fract_x
_atom_site_fract_y
_atom_site_fract_z
Na1 0.381 0.131 0.250
Na2 0.619 0.869 0.750
Fe1 0.000 0.000 0.500
Fe2 0.000 0.500 0.000
Rh1 0.000 0.500 0.500
Rh2 0.500 0.500 0.000

---

[6]
# NaFeRh (PBE-GGA, relaxed)
# DFT formation energy = 2.4 eV/f.u.
# Relative energy among the computed polymorphs = 699.6 meV/atom
data_NaFeRh
_chemical_formula_sum 'Na1 Fe1 Rh1'
_space_group_name_H-M_alt 'P 1'
_space_group_IT_number 1
_space_group_name_Hall 'P 1'
_cell_length_a 3.867
_cell_length_b 3.867
_cell_length_c 4.661
_cell_angle_alpha 90.00
_cell_angle_beta 90.00
_cell_angle_gamma 120.00
loop_
_atom_site_label
_atom_site_fract_x
_atom_site_fract_y
_atom_site_fract_z
Na1 0.000 0.000 0.000
Fe1 0.333 0.667 0.500
Rh1 0.667 0.333 0.500

---

- Which value of DFT formation energy does entry 3 give?
  1.5 eV/f.u.